(1)
VASP calculation (PBE) on an optimized crystal structure of V2CuBr.

Summary:
Calculated volume   57 Å³/f.u.
Calculated density   7.1 g/cm³
Energy   -5.345 eV/atom
DOS(E_F)   5.6 states/eV/f.u.
Space group   No. 225

Lattice parameters (Å, degrees): 6.1157 6.1157 6.1157 90.00 90.00 90.00
With the nearest neighbours (Å) after each atom.
Positions (direct):
V: 0.2500 0.2500 0.2500  4 Br 2.65, 4 Cu 2.65
V: 0.2500 0.2500 0.7500  4 Br 2.65, 4 Cu 2.65
V: 0.2500 0.7500 0.2500  4 Br 2.65, 4 Cu 2.65
V: 0.2500 0.7500 0.7500  4 Br 2.65, 4 Cu 2.65
V: 0.7500 0.2500 0.2500  4 Br 2.65, 4 Cu 2.65
V: 0.7500 0.2500 0.7500  4 Br 2.65, 4 Cu 2.65
V: 0.7500 0.7500 0.2500  4 Br 2.65, 4 Cu 2.65
V: 0.7500 0.7500 0.7500  4 Br 2.65, 4 Cu 2.65
Cu: 0.0000 0.0000 0.0000  8 V 2.65
Cu: 0.0000 0.5000 0.5000  8 V 2.65
Cu: 0.5000 0.0000 0.5000  8 V 2.65
Cu: 0.5000 0.5000 0.0000  8 V 2.65
Br: 0.0000 0.0000 0.5000  8 V 2.65
Br: 0.0000 0.5000 0.0000  8 V 2.65
Br: 0.5000 0.0000 0.0000  8 V 2.65
Br: 0.5000 0.5000 0.5000  8 V 2.65

(2)
VASP calculation (PBE) on an optimized crystal structure of Hf2NiPb.

Summary:
Calculated volume   89 Å³/f.u.
Calculated density   11.7 g/cm³
Energy   -7.336 eV/atom
ΔH_f (0 K)   0.292 kcal/mol of atoms
DOS(E_F)   3.5 states/eV/f.u.
Space group   No. 166

Lattice parameters (Å, degrees): 3.9169 3.9169 20.0054 90.00 90.00 120.00
With the nearest neighbours (Å) after each atom.
Positions (direct):
Hf: 0.0000 0.0000 0.2258  3 Ni 2.55
Hf: 0.0000 0.0000 0.7742  3 Ni 2.55
Hf: 0.3333 0.6667 0.4408  3 Ni 2.55
Hf: 0.3333 0.6667 0.8925  3 Ni 2.55
Hf: 0.6667 0.3333 0.1075  3 Ni 2.55
Hf: 0.6667 0.3333 0.5592  3 Ni 2.55
Ni: 0.0000 0.0000 0.5000  6 Hf 2.55
Ni: 0.3333 0.6667 0.1667  6 Hf 2.55
Ni: 0.6667 0.3333 0.8333  6 Hf 2.55
Pb: 0.0000 0.0000 0.0000  6 Hf 3.12
Pb: 0.3333 0.6667 0.6667  6 Hf 3.12
Pb: 0.6667 0.3333 0.3333  6 Hf 3.12

(3)
VASP calculation (PBE) on an optimized crystal structure of IrCN3.

Summary:
Calculated volume   38 Å³/f.u.
Calculated density   10.8 g/cm³
Energy   -6.146 eV/atom
DOS(E_F)   1.6 states/eV/f.u.
Space group   No. 221

Lattice parameters (Å, degrees): 3.3620 3.3620 3.3620 90.00 90.00 90.00
With the nearest neighbours (Å) after each atom.
Positions (direct):
Ir: 0.0000 0.0000 0.0000  12 N 2.38
C: 0.5000 0.5000 0.5000  6 N 1.68
N: 0.0000 0.5000 0.5000  2 C 1.68
N: 0.5000 0.0000 0.5000  2 C 1.68
N: 0.5000 0.5000 0.0000  2 C 1.68

(4)
VASP calculation (PBE) on an optimized crystal structure of LaTb6Th3.

Summary:
Calculated volume   338 Å³/f.u.
Calculated density   8.8 g/cm³
Energy   -5.321 eV/atom
ΔH_f (0 K)   4.064 kcal/mol of atoms
DOS(E_F)   13.3 states/eV/f.u.
Space group   No. 11

Lattice parameters (Å, degrees): 10.3800 5.6728 11.5358 90.00 95.57 90.00
With the nearest neighbours (Å) after each atom.
Positions (direct):
La: 0.0497 0.2500 0.3320  9 Tb 3.44-3.82, 1 Th 3.71
La: 0.9503 0.7500 0.6680  9 Tb 3.44-3.82, 1 Th 3.71
Tb: 0.1571 0.2500 0.6974  4 Th 3.54-3.80, 2 La 3.55, 7 Tb 3.65-3.94
Tb: 0.1640 0.7500 0.1866  4 Tb 3.20-3.45, 3 Th 3.46, 2 La 3.56
Tb: 0.1905 0.7500 0.4656  1 Th 3.07, 1 Tb 3.20
Tb: 0.2192 0.7500 0.9185  3 Th 3.06-3.33, 1 Tb 3.20
Tb: 0.3511 0.2500 0.2319  1 Th 3.01
Tb: 0.4512 0.2500 0.8988  9 Tb 3.65-4.08, 4 Th 3.72-4.00
Tb: 0.5488 0.7500 0.1012  9 Tb 3.65-4.08, 4 Th 3.72-4.00
Tb: 0.6489 0.7500 0.7681  1 Th 3.01
Tb: 0.7808 0.2500 0.0815  3 Th 3.06-3.33, 1 Tb 3.20
Tb: 0.8095 0.2500 0.5344  1 Th 3.07, 1 Tb 3.20
Tb: 0.8360 0.2500 0.8134  4 Tb 3.20-3.45, 3 Th 3.46, 2 La 3.56
Tb: 0.8429 0.7500 0.3026  4 Th 3.54-3.80, 2 La 3.55, 7 Tb 3.65-3.94
Th: 0.1021 0.2500 0.0181  7 Tb 3.33-3.48, 2 Th 3.54, 1 La 3.71
Th: 0.3619 0.7500 0.6982  3 Tb 3.01-3.07
Th: 0.4585 0.2500 0.5651  5 Th 3.36-3.71, 2 Tb 3.61-3.69
Th: 0.5415 0.7500 0.4349  5 Th 3.36-3.71, 2 Tb 3.61-3.69
Th: 0.6381 0.2500 0.3018  3 Tb 3.01-3.07
Th: 0.8979 0.7500 0.9819  7 Tb 3.33-3.48, 2 Th 3.54, 1 La 3.71

(5)
VASP calculation (PBE) on an optimized crystal structure of NbSe2SN.

Summary:
Calculated volume   84 Å³/f.u.
Calculated density   5.9 g/cm³
Energy   -5.076 eV/atom
DOS(E_F)   3.4 states/eV/f.u.
Space group   No. 123

Lattice parameters (Å, degrees): 5.0219 5.0219 3.3170 90.00 90.00 90.00
With the nearest neighbours (Å) after each atom.
Positions (direct):
Nb: 0.0000 0.0000 0.0000  8 Se 3.01, 2 Nb 3.32
Se: 0.0000 0.5000 0.5000  2 S 2.51
Se: 0.5000 0.0000 0.5000  2 S 2.51
S: 0.5000 0.5000 0.5000  2 N 1.66
N: 0.5000 0.5000 0.0000  2 S 1.66

(6)
VASP calculation (PBE) on an optimized crystal structure of RbIN2F.

Summary:
Calculated volume   89 Å³/f.u.
Calculated density   4.8 g/cm³
Energy   -3.709 eV/atom
DOS(E_F)   1.9 states/eV/f.u.
Space group   No. 123

Lattice parameters (Å, degrees): 4.0935 4.0935 5.3072 90.00 90.00 90.00
With the nearest neighbours (Å) after each atom.
Positions (direct):
Rb: 0.0000 0.0000 0.0000  4 F 2.89
I: 0.5000 0.5000 0.5000  4 N 2.05
N: 0.0000 0.5000 0.5000  2 I 2.05
N: 0.5000 0.0000 0.5000  2 I 2.05
F: 0.5000 0.5000 0.0000  2 I 2.65, 4 Rb 2.89

Q: calculated density of number 3 (IrCN3)?
A: 10.8 g/cm³